[1]
An optimized crystal structure of Ca3VSi. Source: the Alexandria database, functional PBE.

Summary:
The calculated density comes out at 1.90 g/cm3. As for the total magnetization: 4.74 μB/f.u. The electronic total energy is -16.1 eV/f.u. As for the density of states at the Fermi level: 3.1 states/eV/f.u.

Unit cell a=5.587 b=5.587 c=5.587 alpha=90.00 beta=90.00 gamma=90.00
Space group Pm-3m (No. 221)
Unique sites:
Ca 0.000 0.000 0.500 [3 per cell]
V 0.000 0.000 0.000 [1 per cell]
Si 0.500 0.500 0.500 [1 per cell]

---

[2]
An optimized crystal structure of CaVSi. Source: the Alexandria database, functional PBE.

Summary:
The calculated density comes out at 3.23 g/cm3. As for the total magnetization: 0.00 μB/f.u. The electronic total energy is -17.6 eV/f.u. As for the density of states at the Fermi level: 2.3 states/eV/f.u.

Unit cell a=3.933 b=3.933 c=7.918 alpha=90.00 beta=90.00 gamma=90.00
Space group P4/nmm (No. 129, origin choice 2)
Unique sites:
Ca 0.250 0.250 0.165 [2 per cell]
V 0.250 0.750 0.500 [2 per cell]
Si 0.250 0.250 0.701 [2 per cell]

---

[3]
An optimized crystal structure of CaSiW4. Source: the Alexandria database, functional PBE.

Summary:
The calculated density comes out at 12.06 g/cm3. As for the total magnetization: 0.00 μB/f.u. The electronic total energy is -55.0 eV/f.u. As for the density of states at the Fermi level: 5.8 states/eV/f.u.

Unit cell a=7.621 b=7.621 c=7.621 alpha=90.00 beta=90.00 gamma=90.00
Space group F-43m (No. 216)
Unique sites:
Ca 0.000 0.000 0.000 [4 per cell]
Si 0.250 0.250 0.750 [4 per cell]
W 0.125 0.125 0.375 [16 per cell]

---

[4]
An optimized crystal structure of CaSi2W2. Source: the Alexandria database, functional PBE.

Summary:
The calculated density comes out at 9.27 g/cm3. As for the total magnetization: 0.00 μB/f.u. The electronic total energy is -38.5 eV/f.u. As for the density of states at the Fermi level: 2.3 states/eV/f.u.

Unit cell a=7.222 b=7.222 c=3.186 alpha=90.00 beta=90.00 gamma=90.00
Space group P4/mbm (No. 127)
Unique sites:
Ca 0.000 0.000 0.000 [2 per cell]
Si 0.135 0.365 0.000 [4 per cell]
W 0.148 0.648 0.500 [4 per cell]